No. 1
# CoRuNF2

A PBEsol-optimized structure of CoRuNF2 (meta-GGA SCAN, the Alexandria database).

a b c (Å): 3.910 3.910 3.558
angles (deg): 90.00 90.00 90.00
Space group P4/mmm (No. 123)
One atom of each set of equivalent atoms:
Co1 0.000 0.000 0.000
Ru1 0.500 0.500 0.500
N1 0.000 0.000 0.500
F1 0.000 0.500 0.000

Results
Formation energy without anion corrections, meV/atom: -163.4

---

No. 2
# ZnFe3C

A PBEsol-optimized structure of ZnFe3C (meta-GGA SCAN, the Alexandria database).

a b c (Å): 4.294 4.294 4.294
angles (deg): 90.00 90.00 90.00
Space group Pm-3m (No. 221)
One atom of each set of equivalent atoms:
Zn1 0.000 0.000 0.000
Fe1 0.000 0.000 0.500
C1 0.500 0.500 0.500

Results
DFT formation energy, eV/f.u.: 11.39

---

No. 3
# CuRe2P

A PBEsol-optimized structure of CuRe2P (meta-GGA SCAN, the Alexandria database).

a b c (Å): 8.737 2.906 4.264
angles (deg): 90.00 107.24 90.00
Space group Cm (No. 8)
One atom of each set of equivalent atoms:
Cu1 0.000 0.000 0.000
Re1 0.249 0.000 0.841
Re2 0.483 0.000 0.486
P1 0.238 0.500 0.300

Results
DFT formation energy, eV/f.u.: 0.95

---

No. 4
# LiMg2Zn

A PBEsol-optimized structure of LiMg2Zn (meta-GGA SCAN, the Alexandria database).

a b c (Å): 4.126 4.126 8.533
angles (deg): 90.00 90.00 90.00
Space group I-4m2 (No. 119)
One atom of each set of equivalent atoms:
Li1 0.000 0.000 0.000
Mg1 0.000 0.000 0.500
Mg2 0.000 0.500 0.250
Zn1 0.000 0.500 0.750

Results
DFT formation energy, eV/f.u.: -0.37

---

| no. | ρ (g/cm³) | magnetization (μB/cell) |
| --- | --- | --- |
| 1 | 6.5 | 1.725 |
| 2 | 5.1 | 9.150 |
| 3 | 15.0 | 0.000 |
| 4 | 2.8 | 0.086 |